A plane-wave DFT calculation with PBE was carried out for crystalline Tb2Fe2Co15 at its relaxed geometry.

The space group is R-3m (No. 166, hexagonal axes) and the conventional cell measures 8.2876, 8.2876 and 12.0501 Å, with angles of 90.00, 90.00 and 120.00 degrees. The inequivalent atoms are Tb at (0.0000, 0.0000, 0.1547), Fe at (0.0000, 0.0000, 0.4019), Co at (0.0000, 0.2888, 0.5000), Co at (0.0000, 0.5000, 0.0000) and Co at (0.0015, 0.5008, 0.3471).

The value obtained for the total magnetization is 1.409 μB per atom. The formation energy is -1.999 eV/f.u.


A plane-wave DFT calculation with PBE was carried out for crystalline Nd2Ga2Pd3Pt at its relaxed geometry.

The space group is P3m1 (No. 156) and the conventional cell measures 4.4489, 4.4489 and 9.3812 Å, with angles of 90.00, 90.00 and 120.00 degrees. The inequivalent atoms are Nd at (0.0000, 0.0000, 0.0000), Nd at (0.3333, 0.6667, 0.5035), Ga at (0.6667, 0.3333, 0.2539), Ga at (0.6667, 0.3333, 0.7573), Pd at (0.0000, 0.0000, 0.3293), Pd at (0.0000, 0.0000, 0.6714), Pd at (0.3333, 0.6667, 0.1788) and Pt at (0.3333, 0.6667, 0.8287).

The value obtained for the total magnetization is 0.001 μB per atom. The calculation puts the total energy at -44.3 eV per cell.


A plane-wave DFT calculation with PBE was carried out for crystalline TmMgTe at its relaxed geometry.

The space group is F-43m (No. 216) and the conventional cell measures 7.248, 7.248 and 7.248 Å, with angles of 90.00, 90.00 and 90.00 degrees. The inequivalent atoms are Tm at (0.000, 0.000, 0.000), Mg at (0.250, 0.250, 0.750) and Te at (0.250, 0.250, 0.250).

The value obtained for the total magnetization is 0.306 μB per atom. The calculation puts the total energy at -38.4 eV per cell.


A plane-wave DFT calculation with PBE was carried out for crystalline CsThPd at its relaxed geometry.

The space group is F-43m (No. 216) and the conventional cell measures 7.356, 7.356 and 7.356 Å, with angles of 90.00, 90.00 and 90.00 degrees. The inequivalent atoms are Cs at (0.000, 0.000, 0.000), Th at (0.000, 0.000, 0.500) and Pd at (0.250, 0.250, 0.250).

The value obtained for the total magnetization is 0.001 μB per atom. The calculation puts the total energy at -46.5 eV per cell.


A plane-wave DFT calculation with PBE was carried out for crystalline ZrHgPd at its relaxed geometry.

The space group is F-43m (No. 216) and the conventional cell measures 6.427, 6.427 and 6.427 Å, with angles of 90.00, 90.00 and 90.00 degrees. The inequivalent atoms are Zr at (0.000, 0.000, 0.000), Hg at (0.000, 0.000, 0.500) and Pd at (0.250, 0.250, 0.750).

The value obtained for the total magnetization is 0.256 μB per atom. The formation energy is -0.676 eV/f.u.


A plane-wave DFT calculation with PBE was carried out for crystalline ErPuHf at its relaxed geometry.

The space group is F-43m (No. 216) and the conventional cell measures 7.156, 7.156 and 7.156 Å, with angles of 90.00, 90.00 and 90.00 degrees. The inequivalent atoms are Er at (0.000, 0.000, 0.000), Pu at (0.000, 0.000, 0.500) and Hf at (0.250, 0.250, 0.750).

The value obtained for the total magnetization is 2.032 μB per atom. The formation energy is 2.444 eV/f.u.


A plane-wave DFT calculation with PBE was carried out for crystalline TaTcNiB at its relaxed geometry.

The space group is F-43m (No. 216) and the conventional cell measures 5.930, 5.930 and 5.930 Å, with angles of 90.00, 90.00 and 90.00 degrees. The inequivalent atoms are Ta at (0.000, 0.000, 0.000), Tc at (0.250, 0.250, 0.750), Ni at (0.000, 0.000, 0.500) and B at (0.250, 0.250, 0.250).

The value obtained for the total magnetization is 0.054 μB per atom. The calculation puts the total energy at -129.1 eV per cell.


A plane-wave DFT calculation with PBE was carried out for crystalline BaSnGeAu2 at its relaxed geometry.

The space group is P4/nmm (No. 129, origin choice 2) and the conventional cell measures 4.804, 4.804 and 10.960 Å, with angles of 90.00, 90.00 and 90.00 degrees. The inequivalent atoms are Ba at (0.250, 0.250, 0.243), Sn at (0.250, 0.250, 0.634), Ge at (0.250, 0.750, 0.000), Au at (0.250, 0.250, 0.890) and Au at (0.250, 0.750, 0.500).

The calculation puts the total energy at -39.7 eV per cell.


> What is the formula in the fourth record?

CsThPd


Copy entry 1 word for word.
A plane-wave DFT calculation with PBE was carried out for crystalline Tb2Fe2Co15 at its relaxed geometry.

The space group is R-3m (No. 166, hexagonal axes) and the conventional cell measures 8.2876, 8.2876 and 12.0501 Å, with angles of 90.00, 90.00 and 120.00 degrees. The inequivalent atoms are Tb at (0.0000, 0.0000, 0.1547), Fe at (0.0000, 0.0000, 0.4019), Co at (0.0000, 0.2888, 0.5000), Co at (0.0000, 0.5000, 0.0000) and Co at (0.0015, 0.5008, 0.3471).

The value obtained for the total magnetization is 1.409 μB per atom. The formation energy is -1.999 eV/f.u.